Record 1
GGA-PBE HgGeAu14, relaxed; crystal system = orthorhombic; Fermi-level density of states = 5.553 states/eV/cell; SG = No. 38; density = 17.03 g cm⁻³
1.0
9.730 0.000 0.000
0.000 3.152 4.817
0.000 -3.152 4.817
Hg Ge Au
1 1 14
Direct
0.000 0.000 0.000
0.000 0.506 0.506
0.000 0.015 0.497
0.000 0.497 0.015
0.246 0.680 0.680
0.253 0.178 0.178
0.253 0.183 0.675
0.253 0.675 0.183
0.500 0.000 0.000
0.500 0.498 0.498
0.500 0.502 0.994
0.500 0.994 0.502
0.747 0.178 0.178
0.747 0.183 0.675
0.747 0.675 0.183
0.754 0.680 0.680

---

Record 2
GGA-PBE Hg5Ge2Au5, relaxed; crystal system = triclinic; Fermi-level density of states = 4.108 states/eV/cell; SG = No. 2; density = 12.83 g cm⁻³
1.0
4.198 0.000 0.000
-2.077 7.329 0.000
-0.761 -3.467 8.975
Hg Ge Au
5 2 5
Direct
0.000 0.000 0.000
0.316 0.648 0.966
0.389 0.671 0.363
0.611 0.329 0.637
0.684 0.352 0.034
0.152 0.173 0.311
0.848 0.827 0.689
0.000 0.000 0.500
0.080 0.223 0.806
0.235 0.615 0.654
0.765 0.385 0.346
0.920 0.777 0.194

---

Record 3
GGA-PBE HgGe3Au3, relaxed; crystal system = cubic; Fermi-level density of states = 7.549 states/eV/cell; SG = No. 223; density = 8.83 g cm⁻³
1.0
7.240 0.000 0.000
0.000 7.240 0.000
0.000 0.000 7.240
Hg Ge Au
2 6 6
Direct
0.000 0.000 0.000
0.500 0.500 0.500
0.000 0.250 0.500
0.000 0.750 0.500
0.250 0.500 0.000
0.500 0.000 0.250
0.500 0.000 0.750
0.750 0.500 0.000
0.000 0.500 0.250
0.000 0.500 0.750
0.250 0.000 0.500
0.500 0.250 0.000
0.500 0.750 0.000
0.750 0.000 0.500

---

Record 4
GGA-PBE Hg3GeAu2, relaxed; crystal system = monoclinic; Fermi-level density of states = 3.897 states/eV/cell; SG = No. 12; density = 12.32 g cm⁻³
1.0
8.337 -1.966 0.000
8.337 1.966 0.000
-2.145 0.000 8.784
Hg Ge Au
6 2 4
Direct
0.068 0.068 0.156
0.222 0.222 0.612
0.309 0.309 0.937
0.691 0.691 0.063
0.778 0.778 0.388
0.932 0.932 0.844
0.445 0.445 0.339
0.555 0.555 0.661
0.113 0.113 0.836
0.393 0.393 0.589
0.607 0.607 0.411
0.887 0.887 0.164

---

Record 5
GGA-PBE HgGeAu4, relaxed; crystal system = triclinic; Fermi-level density of states = 2.766 states/eV/cell; SG = No. 2; density = 15.47 g cm⁻³
1.0
5.055 0.000 0.000
-0.286 5.051 0.000
-2.360 -2.548 8.922
Hg Ge Au
2 2 8
Direct
0.223 0.279 0.000
0.777 0.721 0.000
0.000 0.500 0.500
0.500 0.000 0.500
0.058 0.105 0.660
0.192 0.696 0.825
0.368 0.869 0.175
0.398 0.443 0.340
0.602 0.557 0.660
0.632 0.131 0.825
0.808 0.304 0.175
0.942 0.895 0.340

---

Record 6
GGA-PBE Hg2GeAu2, relaxed; crystal system = tetragonal; Fermi-level density of states = 2.173 states/eV/cell; SG = No. 139; density = 12.78 g cm⁻³
1.0
-1.937 1.937 7.514
1.937 -1.937 7.514
1.937 1.937 -7.514
Hg Ge Au
2 1 2
Direct
0.099 0.099 0.000
0.901 0.901 0.000
0.500 0.500 0.000
0.250 0.750 0.500
0.750 0.250 0.500

---

Record 7
GGA-PBE HgGeAu2, relaxed; crystal system = tetragonal; Fermi-level density of states = 1.331 states/eV/cell; SG = No. 123; density = 14.04 g cm⁻³
1.0
3.355 0.000 0.000
0.000 3.355 0.000
0.000 0.000 7.010
Hg Ge Au
1 1 2
Direct
0.000 0.000 0.000
0.000 0.000 0.500
0.500 0.500 0.271
0.500 0.500 0.729

---

Record 8
GGA-PBE HgGeAu3, relaxed; crystal system = monoclinic; Fermi-level density of states = 5.230 states/eV/cell; SG = No. 15; density = 14.23 g cm⁻³
1.0
6.798 -4.230 0.000
6.798 4.230 0.000
-1.965 0.000 7.013
Hg Ge Au
4 4 12
Direct
0.020 0.980 0.750
0.344 0.656 0.250
0.656 0.344 0.750
0.980 0.020 0.250
0.247 0.551 0.702
0.449 0.753 0.798
0.551 0.247 0.202
0.753 0.449 0.298
0.010 0.690 0.402
0.019 0.664 0.952
0.277 0.306 0.390
0.306 0.277 0.890
0.310 0.990 0.098
0.336 0.981 0.548
0.664 0.019 0.452
0.690 0.010 0.902
0.694 0.723 0.110
0.723 0.694 0.610
0.981 0.336 0.048
0.990 0.310 0.598

---

Record 9
GGA-PBE Hg3Ge5Au12, relaxed; crystal system = cubic; Fermi-level density of states = 10.031 states/eV/cell; SG = No. 230; density = 11.78 g cm⁻³
1.0
-7.770 7.770 7.770
7.770 -7.770 7.770
7.770 7.770 -7.770
Hg Ge Au
12 20 48
Direct
0.125 0.250 0.375
0.125 0.375 0.750
0.250 0.375 0.125
0.250 0.875 0.625
0.375 0.125 0.250
0.375 0.750 0.125
0.625 0.250 0.875
0.625 0.875 0.750
0.750 0.125 0.375
0.750 0.625 0.875
0.875 0.625 0.250
0.875 0.750 0.625
0.000 0.000 0.000
0.000 0.000 0.500
0.000 0.500 0.000
0.000 0.500 0.500
0.125 0.750 0.875
0.125 0.875 0.250
0.250 0.125 0.875
0.250 0.625 0.375
0.375 0.250 0.625
0.375 0.625 0.750
0.500 0.000 0.000
0.500 0.000 0.500
0.500 0.500 0.000
0.500 0.500 0.500
0.625 0.375 0.250
0.625 0.750 0.375
0.750 0.375 0.625
0.750 0.875 0.125
0.875 0.125 0.750
0.875 0.250 0.125
0.051 0.220 0.131
0.051 0.331 0.920
0.080 0.631 0.411
0.080 0.949 0.669
0.089 0.720 0.669
0.089 0.869 0.420
0.131 0.051 0.220
0.131 0.580 0.911
0.169 0.220 0.589
0.169 0.449 0.580
0.220 0.131 0.051
0.220 0.589 0.169
0.280 0.331 0.911
0.280 0.449 0.369
0.331 0.911 0.280
0.331 0.920 0.051
0.369 0.280 0.449
0.369 0.589 0.920
0.411 0.080 0.631
0.411 0.831 0.780
0.420 0.089 0.869
0.420 0.831 0.551
0.449 0.369 0.280
0.449 0.580 0.169
0.551 0.420 0.831
0.551 0.631 0.720
0.580 0.169 0.449
0.580 0.911 0.131
0.589 0.169 0.220
0.589 0.920 0.369
0.631 0.411 0.080
0.631 0.720 0.551
0.669 0.080 0.949
0.669 0.089 0.720
0.720 0.551 0.631
0.720 0.669 0.089
0.780 0.411 0.831
0.780 0.869 0.949
0.831 0.551 0.420
0.831 0.780 0.411
0.869 0.420 0.089
0.869 0.949 0.780
0.911 0.131 0.580
0.911 0.280 0.331
0.920 0.051 0.331
0.920 0.369 0.589
0.949 0.669 0.080
0.949 0.780 0.869

---

Record 10
GGA-PBE HgGeAu, relaxed; crystal system = trigonal; Fermi-level density of states = 1.443 states/eV/cell; SG = No. 156; density = 11.66 g cm⁻³
1.0
3.712 0.000 0.000
-1.856 3.214 0.000
0.000 0.000 5.610
Hg Ge Au
1 1 1
Direct
0.000 0.000 0.000
0.667 0.333 0.367
0.333 0.667 0.636

---

Record 11
GGA-PBE Hg3Ge4Au4, relaxed; crystal system = monoclinic; Fermi-level density of states = 3.538 states/eV/cell; SG = No. 12; density = 11.35 g cm⁻³
1.0
6.237 -6.827 0.000
6.237 6.827 0.000
-0.570 0.000 2.887
Hg Ge Au
3 4 4
Direct
0.000 0.000 0.000
0.390 0.610 0.500
0.610 0.390 0.500
0.032 0.384 0.217
0.384 0.032 0.217
0.616 0.968 0.783
0.968 0.616 0.783
0.202 0.798 0.000
0.282 0.282 0.291
0.718 0.718 0.709
0.798 0.202 0.000

---

no.,E (eV per cell)
1,-50.0
2,-26.4
3,-44.4
4,-23.5
5,-35.4
6,-10.7
7,-11.0
8,-57.6
9,-241.1
10,-7.9
11,-31.4